This record from Alexandria describes Cd3GaRu after structural relaxation. The functional is PBE.

Summary:
final energy = -2.440 eV per atom
polymorph energy (0 for the lowest one) = 0 meV/atom
formation enthalpy at 0 K = 0.57 eV per atom

Lattice parameters (Å, degrees): 5.188 5.188 5.188 90.00 90.00 90.00
Fractional positions:
Ru1 0.000 0.000 0.000
Ga1 0.500 0.500 0.500
Cd1 0.000 0.500 0.000
Cd2 0.000 0.000 0.500
Cd3 0.500 0.000 0.000